5
Lattice="4.9327 0.0000 0.0000 0.0000 4.9327 0.0000 0.0000 0.0000 4.8342" Properties=species:S:1:pos:R:3 comment="MgTa2HgPt, optimized geometry, DFT PBE" magmom_total_mub_per_cell=0.0 n_ef_per_ev_cell=3.65 crystal_system=tetragonal total_energy_ev_per_atom=-5.5834 spacegroup=P4/mmm ef_ev_per_atom=0.745 pbc="T T T"
Mg 0.0000 0.0000 0.0000
Ta 0.0000 2.4663 2.4171
Ta 2.4663 0.0000 2.4171
Hg 2.4663 2.4663 0.0000
Pt 0.0000 0.0000 2.4171